# 1
The following is a DFT calculation (PBE) of a relaxed CaNdHgPt crystal.

Output
N(E_F): 11.03 states/eV per cell
Energy: -4.0144 eV per atom
Total moment: 0.00 μB/f.u.

```
data_CaNdHgPt
_cell_length_a 7.3347
_cell_length_b 7.3347
_cell_length_c 7.3347
_cell_angle_alpha 90.00
_cell_angle_beta 90.00
_cell_angle_gamma 90.00
_space_group_name_H-M_alt 'F -4 3 m'
_space_group_IT_number 216
_space_group_name_Hall 'F -4 2 3'
loop_
_atom_site_label
_atom_site_type_symbol
_atom_site_fract_x
_atom_site_fract_y
_atom_site_fract_z
Ca1 Ca 0.0000 0.0000 0.0000
Nd1 Nd 0.0000 0.0000 0.5000
Hg1 Hg 0.2500 0.2500 0.7500
Pt1 Pt 0.2500 0.2500 0.2500
```

# 2
The following is a DFT calculation (PBE) of a relaxed CaNdHgSb crystal.

Output
N(E_F): 12.88 states/eV per cell
Energy: -3.4675 eV per atom
Total moment: 0.00 μB/f.u.

```
data_CaNdHgSb
_cell_length_a 7.6795
_cell_length_b 7.6795
_cell_length_c 7.6795
_cell_angle_alpha 90.00
_cell_angle_beta 90.00
_cell_angle_gamma 90.00
_space_group_name_H-M_alt 'F -4 3 m'
_space_group_IT_number 216
_space_group_name_Hall 'F -4 2 3'
loop_
_atom_site_label
_atom_site_type_symbol
_atom_site_fract_x
_atom_site_fract_y
_atom_site_fract_z
Ca1 Ca 0.0000 0.0000 0.0000
Nd1 Nd 0.0000 0.0000 0.5000
Hg1 Hg 0.2500 0.2500 0.7500
Sb1 Sb 0.2500 0.2500 0.2500
```

# 3
The following is a DFT calculation (PBE) of a relaxed CaNdSc2Hg4 crystal.

Output
N(E_F): 18.84 states/eV per cell
Energy: -3.0127 eV per atom
Total moment: 0.00 μB/f.u.

```
data_CaNdSc2Hg4
_cell_length_a 5.1715
_cell_length_b 5.1715
_cell_length_c 25.6164
_cell_angle_alpha 90.00
_cell_angle_beta 90.00
_cell_angle_gamma 120.00
_space_group_name_H-M_alt 'R -3 m'
_space_group_IT_number 166
_space_group_name_Hall '-R 3 2"'
loop_
_atom_site_label
_atom_site_type_symbol
_atom_site_fract_x
_atom_site_fract_y
_atom_site_fract_z
Ca1 Ca 0.0000 0.0000 0.0000
Nd1 Nd 0.0000 0.0000 0.5000
Sc1 Sc 0.0000 0.0000 0.2523
Hg1 Hg 0.0000 0.0000 0.1225
Hg2 Hg 0.0000 0.0000 0.3743
```

# 4
The following is a DFT calculation (PBE) of a relaxed CaNdSm2Hg4 crystal.

Output
N(E_F): 22.02 states/eV per cell
Energy: -2.6806 eV per atom
Total moment: 0.00 μB/f.u.

```
data_CaNdSm2Hg4
_cell_length_a 5.3714
_cell_length_b 5.3714
_cell_length_c 26.3902
_cell_angle_alpha 90.00
_cell_angle_beta 90.00
_cell_angle_gamma 120.00
_space_group_name_H-M_alt 'R -3 m'
_space_group_IT_number 166
_space_group_name_Hall '-R 3 2"'
loop_
_atom_site_label
_atom_site_type_symbol
_atom_site_fract_x
_atom_site_fract_y
_atom_site_fract_z
Ca1 Ca 0.0000 0.0000 0.0000
Nd1 Nd 0.0000 0.0000 0.5000
Sm1 Sm 0.0000 0.0000 0.2526
Hg1 Hg 0.0000 0.0000 0.1248
Hg2 Hg 0.0000 0.0000 0.3754
```

# 5
The following is a DFT calculation (PBE) of a relaxed SrCa2NdHg4 crystal.

Output
N(E_F): 19.73 states/eV per cell
Energy: -1.9902 eV per atom
Total moment: 0.00 μB/f.u.

```
data_SrCa2NdHg4
_cell_length_a 5.4452
_cell_length_b 5.4452
_cell_length_c 26.7313
_cell_angle_alpha 90.00
_cell_angle_beta 90.00
_cell_angle_gamma 120.00
_space_group_name_H-M_alt 'R -3 m'
_space_group_IT_number 166
_space_group_name_Hall '-R 3 2"'
loop_
_atom_site_label
_atom_site_type_symbol
_atom_site_fract_x
_atom_site_fract_y
_atom_site_fract_z
Sr1 Sr 0.0000 0.0000 0.0000
Ca1 Ca 0.0000 0.0000 0.2503
Nd1 Nd 0.0000 0.0000 0.5000
Hg1 Hg 0.0000 0.0000 0.1271
Hg2 Hg 0.0000 0.0000 0.3776
```

# 6
The following is a DFT calculation (PBE) of a relaxed SrCaNd2Hg4 crystal.

Output
N(E_F): 19.93 states/eV per cell
Energy: -2.3138 eV per atom
Total moment: 0.00 μB/f.u.

```
data_SrCaNd2Hg4
_cell_length_a 5.4495
_cell_length_b 5.4495
_cell_length_c 26.7610
_cell_angle_alpha 90.00
_cell_angle_beta 90.00
_cell_angle_gamma 120.00
_space_group_name_H-M_alt 'R -3 m'
_space_group_IT_number 166
_space_group_name_Hall '-R 3 2"'
loop_
_atom_site_label
_atom_site_type_symbol
_atom_site_fract_x
_atom_site_fract_y
_atom_site_fract_z
Sr1 Sr 0.0000 0.0000 0.0000
Ca1 Ca 0.0000 0.0000 0.5000
Nd1 Nd 0.0000 0.0000 0.2483
Hg1 Hg 0.0000 0.0000 0.1265
Hg2 Hg 0.0000 0.0000 0.3773
```

# 7
The following is a DFT calculation (PBE) of a relaxed CaTb2NdHg4 crystal.

Output
N(E_F): 20.29 states/eV per cell
Energy: -2.6548 eV per atom
Total moment: 0.00 μB/f.u.

```
data_CaTb2NdHg4
_cell_length_a 5.3233
_cell_length_b 5.3233
_cell_length_c 26.2109
_cell_angle_alpha 90.00
_cell_angle_beta 90.00
_cell_angle_gamma 120.00
_space_group_name_H-M_alt 'R -3 m'
_space_group_IT_number 166
_space_group_name_Hall '-R 3 2"'
loop_
_atom_site_label
_atom_site_type_symbol
_atom_site_fract_x
_atom_site_fract_y
_atom_site_fract_z
Ca1 Ca 0.0000 0.0000 0.0000
Tb1 Tb 0.0000 0.0000 0.2525
Nd1 Nd 0.0000 0.0000 0.5000
Hg1 Hg 0.0000 0.0000 0.1242
Hg2 Hg 0.0000 0.0000 0.3751
```

# 8
The following is a DFT calculation (PBE) of a relaxed CaTbNdHg crystal.

Output
N(E_F): 5.39 states/eV per cell
Energy: -3.1658 eV per atom
Total moment: 0.00 μB/f.u.

```
data_CaTbNdHg
_cell_length_a 3.6625
_cell_length_b 3.6625
_cell_length_c 9.3752
_cell_angle_alpha 90.00
_cell_angle_beta 90.00
_cell_angle_gamma 90.00
_space_group_name_H-M_alt 'P 4 m m'
_space_group_IT_number 99
_space_group_name_Hall 'P 4 -2'
loop_
_atom_site_label
_atom_site_type_symbol
_atom_site_fract_x
_atom_site_fract_y
_atom_site_fract_z
Ca1 Ca 0.0000 0.0000 0.0000
Tb1 Tb 0.0000 0.0000 0.5820
Nd1 Nd 0.5000 0.5000 0.3167
Hg1 Hg 0.5000 0.5000 0.7846
```

# 9
The following is a DFT calculation (PBE) of a relaxed Ca2TbNdHg4 crystal.

Output
N(E_F): 18.20 states/eV per cell
Energy: -2.3619 eV per atom
Total moment: 0.00 μB/f.u.

```
data_Ca2TbNdHg4
_cell_length_a 5.3418
_cell_length_b 5.3418
_cell_length_c 26.1757
_cell_angle_alpha 90.00
_cell_angle_beta 90.00
_cell_angle_gamma 120.00
_space_group_name_H-M_alt 'R -3 m'
_space_group_IT_number 166
_space_group_name_Hall '-R 3 2"'
loop_
_atom_site_label
_atom_site_type_symbol
_atom_site_fract_x
_atom_site_fract_y
_atom_site_fract_z
Ca1 Ca 0.0000 0.0000 0.2494
Tb1 Tb 0.0000 0.0000 0.5000
Nd1 Nd 0.0000 0.0000 0.0000
Hg1 Hg 0.0000 0.0000 0.1263
Hg2 Hg 0.0000 0.0000 0.3769
```

# 10
The following is a DFT calculation (PBE) of a relaxed CaNdTlHg crystal.

Output
N(E_F): 7.52 states/eV per cell
Energy: -2.8527 eV per atom
Total moment: 0.00 μB/f.u.

```
data_CaNdTlHg
_cell_length_a 7.7072
_cell_length_b 7.7072
_cell_length_c 7.7072
_cell_angle_alpha 90.00
_cell_angle_beta 90.00
_cell_angle_gamma 90.00
_space_group_name_H-M_alt 'F -4 3 m'
_space_group_IT_number 216
_space_group_name_Hall 'F -4 2 3'
loop_
_atom_site_label
_atom_site_type_symbol
_atom_site_fract_x
_atom_site_fract_y
_atom_site_fract_z
Ca1 Ca 0.0000 0.0000 0.0000
Nd1 Nd 0.0000 0.0000 0.5000
Tl1 Tl 0.2500 0.2500 0.7500
Hg1 Hg 0.2500 0.2500 0.2500
```

# 11
The following is a DFT calculation (PBE) of a relaxed CaNd2TmHg4 crystal.

Output
N(E_F): 14.20 states/eV per cell
Energy: -2.6607 eV per atom
Total moment: 0.00 μB/f.u.

```
data_CaNd2TmHg4
_cell_length_a 5.3534
_cell_length_b 5.3534
_cell_length_c 26.1909
_cell_angle_alpha 90.00
_cell_angle_beta 90.00
_cell_angle_gamma 120.00
_space_group_name_H-M_alt 'R -3 m'
_space_group_IT_number 166
_space_group_name_Hall '-R 3 2"'
loop_
_atom_site_label
_atom_site_type_symbol
_atom_site_fract_x
_atom_site_fract_y
_atom_site_fract_z
Ca1 Ca 0.0000 0.0000 0.0000
Nd1 Nd 0.0000 0.0000 0.2511
Tm1 Tm 0.0000 0.0000 0.5000
Hg1 Hg 0.0000 0.0000 0.1270
Hg2 Hg 0.0000 0.0000 0.3772
```

# 12
The following is a DFT calculation (PBE) of a relaxed Ca2NdTmHg4 crystal.

Output
N(E_F): 18.07 states/eV per cell
Energy: -2.3302 eV per atom
Total moment: 0.00 μB/f.u.

```
data_Ca2NdTmHg4
_cell_length_a 5.3132
_cell_length_b 5.3132
_cell_length_c 26.1420
_cell_angle_alpha 90.00
_cell_angle_beta 90.00
_cell_angle_gamma 120.00
_space_group_name_H-M_alt 'R -3 m'
_space_group_IT_number 166
_space_group_name_Hall '-R 3 2"'
loop_
_atom_site_label
_atom_site_type_symbol
_atom_site_fract_x
_atom_site_fract_y
_atom_site_fract_z
Ca1 Ca 0.0000 0.0000 0.2488
Nd1 Nd 0.0000 0.0000 0.0000
Tm1 Tm 0.0000 0.0000 0.5000
Hg1 Hg 0.0000 0.0000 0.1270
Hg2 Hg 0.0000 0.0000 0.3779
```